Below is a relaxed structure of AlGeAu2, with properties calculated at the PBE level.

Lattice parameters (Å, degrees): 8.2612 8.2612 8.2612 22.59 22.59 22.59
Atoms (fractional coordinates):
Al 0.0000 0.0000 0.0000
Ge 0.5000 0.5000 0.5000
Au 0.2551 0.2551 0.2551
Au 0.7449 0.7449 0.7449

## Properties
The spin magnetization comes out at 0.00 μB per formula unit. The volume comes out at 18.3 A^3/atom. Its relative energy among the computed polymorphs is 0.0000 eV per atom. The formation energy from the elements is -130 meV per atom. Its mass density is 11.227 g/cm3.